B5C7 | PBE | optimized geometry

The space group is Pm (No. 6) and the conventional cell measures 3.8900, 2.6296 and 8.0873 Å, with angles of 90.00, 90.73 and 90.00 degrees. The distinct sites, in fractional coordinates, are B at (0.0000, 0.0000, 0.0000), B at (0.0386, 0.0000, 0.2861), B at (0.3766, 0.0000, 0.7582), B at (0.4823, 0.5000, 0.4186), B at (0.8762, 0.5000, 0.6667), C at (0.0679, 0.0000, 0.6209), C at (0.2870, 0.0000, 0.4647), C at (0.3066, 0.0000, 0.1190), C at (0.5329, 0.5000, 0.1242), C at (0.5752, 0.5000, 0.8030), C at (0.7612, 0.5000, 0.2831) and C at (0.7812, 0.5000, 0.9650).

For the excess energy over the best structure of this formula in the dataset, the calculation gives 24.9 meV/atom. As for the energy relative to the elements: 27 kJ per mole of atoms.



NdAgGe2 | PBE | optimized geometry

The space group is Pnma (No. 62) and the conventional cell measures 7.9295, 4.0681 and 10.7519 Å, with angles of 90.00, 90.00 and 90.00 degrees. The distinct sites, in fractional coordinates, are Nd at (0.1378, 0.2500, 0.1381), Ag at (0.0135, 0.7500, 0.4013), Ge at (0.1551, 0.2500, 0.8092) and Ge at (0.2490, 0.2500, 0.4370).

As for the energy relative to the elements: -45 kJ per mole of atoms.



BaLi2YC | PBE | optimized geometry

The space group is P4/mmm (No. 123) and the conventional cell measures 5.2903, 5.2903 and 7.4614 Å, with angles of 90.00, 90.00 and 90.00 degrees. The distinct sites, in fractional coordinates, are Ba at (0.0000, 0.0000, 0.0000), Li at (0.0000, 0.5000, 0.5000), Y at (0.0000, 0.0000, 0.5000) and C at (0.5000, 0.5000, 0.0000).

As for the energy relative to the elements: 199 kJ per mole of atoms.



SmEr3Pd6 | PBE | optimized geometry

The space group is P2_1/m (No. 11) and the conventional cell measures 8.1093, 4.5743 and 11.3900 Å, with angles of 90.00, 103.42 and 90.00 degrees. The distinct sites, in fractional coordinates, are Sm at (0.0960, 0.2500, 0.4054), Er at (0.1902, 0.2500, 0.9938), Er at (0.3632, 0.7500, 0.8161), Er at (0.4839, 0.7500, 0.3761), Pd at (0.0450, 0.7500, 0.8516), Pd at (0.1444, 0.7500, 0.1829), Pd at (0.1569, 0.2500, 0.7084), Pd at (0.2777, 0.7500, 0.5609), Pd at (0.3348, 0.2500, 0.2473) and Pd at (0.4385, 0.7500, 0.0811).

As for the energy relative to the elements: -84 kJ per mole of atoms.



Zr2ReCl | PBE | optimized geometry

The space group is Cmmm (No. 65) and the conventional cell measures 3.4214, 5.1598 and 8.6920 Å, with angles of 90.00, 90.00 and 90.00 degrees. The distinct sites, in fractional coordinates, are Zr at (0.0000, 0.0000, 0.2399), Re at (0.0000, 0.5000, 0.0000) and Cl at (0.0000, 0.5000, 0.5000).

For the excess energy over the best structure of this formula in the dataset, the calculation gives 299.3 meV/atom. Its raw formation energy is -336 meV per atom.



Number 1: total DFT energy (no corrections) -94.561 eV per cell. Number 2: total DFT energy (no corrections) -74.812 eV per cell. Number 3: total DFT energy (no corrections) -11.133 eV per cell. Number 4: total DFT energy (no corrections) -116.517 eV per cell. Number 5: total DFT energy (no corrections) -65.471 eV per cell.